Computed, not measured: a relaxed Rb3NaAu crystal at the PBE-GGA level of DFT.

Lattice parameters (Å, degrees): 4.900 10.706 10.783 90.00 90.05 90.00
Fractional positions:
Rb: 0.249 0.447 0.340
Rb: 0.751 0.947 0.660
Rb: 0.751 0.553 0.660
Rb: 0.748 0.250 0.989
Rb: 0.249 0.053 0.340
Rb: 0.252 0.750 0.011
Na: 0.751 0.750 0.337
Na: 0.249 0.250 0.663
Au: 0.749 0.250 0.499
Au: 0.251 0.750 0.501

Computed properties:
relative energy among the computed polymorphs	0.0	meV/atom
volume	282.87	Å³/f.u.
space-group type	No. 11
formation energy	-0.12	eV/atom

=====

Computed, not measured: a relaxed Rb4NaAu3 crystal at the PBE-GGA level of DFT.

Lattice parameters (Å, degrees): 6.709 10.042 10.042 83.59 70.48 70.48
Fractional positions:
Au: 0.355 0.790 0.500
Au: 0.645 0.210 0.500
Au: 0.750 0.000 0.000
Au: 0.855 0.500 0.790
Au: 0.250 0.000 0.000
Au: 0.145 0.500 0.210
Rb: 0.282 0.134 0.303
Rb: 0.782 0.303 0.134
Rb: 0.084 0.134 0.697
Rb: 0.218 0.697 0.866
Rb: 0.584 0.697 0.134
Rb: 0.416 0.303 0.866
Rb: 0.916 0.866 0.303
Rb: 0.718 0.866 0.697
Na: 0.250 0.500 0.500
Na: 0.750 0.500 0.500

Computed properties:
volume	300.50	Å³/f.u.
space-group type	No. 140
formation energy	-0.22	eV/atom